# 1
An optimized crystal structure of CaDy2Pu, computed with PBE-GGA.

energy	-6.23	eV/atom
calculated volume	32.37	A^3/atom
offset from the most stable computed form	0.015	eV per atom

```
data_CaDy2Pu
_chemical_formula_sum 'Ca3 Dy6 Pu3'
_space_group_name_H-M_alt 'R 3 m'
_space_group_IT_number 160
_space_group_name_Hall 'R 3 -2"'
_cell_length_a 3.5676
_cell_length_b 3.5676
_cell_length_c 35.2378
_cell_angle_alpha 90.00
_cell_angle_beta 90.00
_cell_angle_gamma 120.00
loop_
_atom_site_label
_atom_site_type_symbol
_atom_site_fract_x
_atom_site_fract_y
_atom_site_fract_z
Ca1 Ca 0.0000 0.0000 0.0000
Dy1 Dy 0.0000 0.0000 0.2450
Dy2 Dy 0.0000 0.0000 0.4226
Pu1 Pu 0.0000 0.0000 0.8342
```

# 2
An optimized crystal structure of CaDy2Pu, computed with PBE-GGA.

energy	-6.14	eV/atom
calculated volume	32.63	A^3/atom
offset from the most stable computed form	0.107	eV per atom

```
data_CaDy2Pu
_chemical_formula_sum 'Ca3 Dy6 Pu3'
_space_group_name_H-M_alt 'R -3 m'
_space_group_IT_number 166
_space_group_name_Hall '-R 3 2"'
_cell_length_a 3.4877
_cell_length_b 3.4877
_cell_length_c 37.1661
_cell_angle_alpha 90.00
_cell_angle_beta 90.00
_cell_angle_gamma 120.00
loop_
_atom_site_label
_atom_site_type_symbol
_atom_site_fract_x
_atom_site_fract_y
_atom_site_fract_z
Ca1 Ca 0.0000 0.0000 0.0000
Dy1 Dy 0.0000 0.0000 0.0920
Pu1 Pu 0.0000 0.0000 0.5000
```

# 3
An optimized crystal structure of Ca2DyPuS4, computed with PBE-GGA.

energy	-6.91	eV/atom
calculated volume	22.38	A^3/atom
formation energy without anion corrections	-1.977	eV per atom

```
data_Ca2DyPuS4
_chemical_formula_sum 'Ca2 Dy1 Pu1 S4'
_space_group_name_H-M_alt 'P 1 2/m 1'
_space_group_IT_number 10
_space_group_name_Hall '-P 2y'
_cell_length_a 6.8785
_cell_length_b 3.9719
_cell_length_c 6.9456
_cell_angle_alpha 90.00
_cell_angle_beta 109.36
_cell_angle_gamma 90.00
loop_
_atom_site_label
_atom_site_type_symbol
_atom_site_fract_x
_atom_site_fract_y
_atom_site_fract_z
Ca1 Ca 0.0000 0.0000 0.0000
Ca2 Ca 0.5000 0.5000 0.0000
Dy1 Dy 0.0000 0.5000 0.5000
Pu1 Pu 0.5000 0.0000 0.5000
S1 S 0.2444 0.0000 0.7455
S2 S 0.2482 0.5000 0.2536
```

# 4
An optimized crystal structure of CaDy2PuSe4, computed with PBE-GGA.

energy	-6.70	eV/atom
calculated volume	24.68	A^3/atom
formation energy without anion corrections	-1.761	eV per atom

```
data_CaDy2PuSe4
_chemical_formula_sum 'Ca2 Dy4 Pu2 Se8'
_space_group_name_H-M_alt 'I -4 m 2'
_space_group_IT_number 119
_space_group_name_Hall 'I -4 -2'
_cell_length_a 5.8170
_cell_length_b 5.8170
_cell_length_c 11.6718
_cell_angle_alpha 90.00
_cell_angle_beta 90.00
_cell_angle_gamma 90.00
loop_
_atom_site_label
_atom_site_type_symbol
_atom_site_fract_x
_atom_site_fract_y
_atom_site_fract_z
Ca1 Ca 0.0000 0.0000 0.0000
Dy1 Dy 0.0000 0.0000 0.5000
Dy2 Dy 0.0000 0.5000 0.2500
Pu1 Pu 0.0000 0.5000 0.7500
Se1 Se 0.0000 0.0000 0.2508
Se2 Se 0.0000 0.5000 0.0023
```

# 5
An optimized crystal structure of Ca4Dy3PuSe8, computed with PBE-GGA.

energy	-5.84	eV/atom
calculated volume	25.20	A^3/atom
formation energy without anion corrections	-1.840	eV per atom

```
data_Ca4Dy3PuSe8
_chemical_formula_sum 'Ca12 Dy9 Pu3 Se24'
_space_group_name_H-M_alt 'R -3 m'
_space_group_IT_number 166
_space_group_name_Hall '-R 3 2"'
_cell_length_a 8.2508
_cell_length_b 8.2508
_cell_length_c 20.5189
_cell_angle_alpha 90.00
_cell_angle_beta 90.00
_cell_angle_gamma 120.00
loop_
_atom_site_label
_atom_site_type_symbol
_atom_site_fract_x
_atom_site_fract_y
_atom_site_fract_z
Ca1 Ca 0.0000 0.0000 0.0000
Ca2 Ca 0.0000 0.5000 0.0000
Dy1 Dy 0.0000 0.5000 0.5000
Pu1 Pu 0.0000 0.0000 0.5000
Se1 Se 0.0000 0.0000 0.2482
Se2 Se 0.0039 0.5020 0.7510
```

# 6
An optimized crystal structure of Ca3DyPu2Te6, computed with PBE-GGA.

energy	-6.21	eV/atom
calculated volume	31.47	A^3/atom
formation energy without anion corrections	-1.371	eV per atom

```
data_Ca3DyPu2Te6
_chemical_formula_sum 'Ca6 Dy2 Pu4 Te12'
_space_group_name_H-M_alt 'C 1 2/m 1'
_space_group_IT_number 12
_space_group_name_Hall '-C 2y'
_cell_length_a 19.5167
_cell_length_b 4.4445
_cell_length_c 8.9720
_cell_angle_alpha 90.00
_cell_angle_beta 103.92
_cell_angle_gamma 90.00
loop_
_atom_site_label
_atom_site_type_symbol
_atom_site_fract_x
_atom_site_fract_y
_atom_site_fract_z
Ca1 Ca 0.0000 0.0000 0.0000
Ca2 Ca 0.1678 0.5000 0.3323
Dy1 Dy 0.0000 0.0000 0.5000
Pu1 Pu 0.1668 0.5000 0.8328
Te1 Te 0.0008 0.5000 0.2559
Te2 Te 0.1641 0.0000 0.5803
Te3 Te 0.1661 0.0000 0.0823
```

# 7
An optimized crystal structure of CaDy2PuTe4, computed with PBE-GGA.

energy	-6.08	eV/atom
calculated volume	30.22	A^3/atom
formation energy without anion corrections	-1.321	eV per atom

```
data_CaDy2PuTe4
_chemical_formula_sum 'Ca2 Dy4 Pu2 Te8'
_space_group_name_H-M_alt 'I -4 m 2'
_space_group_IT_number 119
_space_group_name_Hall 'I -4 -2'
_cell_length_a 6.2254
_cell_length_b 6.2254
_cell_length_c 12.4759
_cell_angle_alpha 90.00
_cell_angle_beta 90.00
_cell_angle_gamma 90.00
loop_
_atom_site_label
_atom_site_type_symbol
_atom_site_fract_x
_atom_site_fract_y
_atom_site_fract_z
Ca1 Ca 0.0000 0.0000 0.0000
Dy1 Dy 0.0000 0.0000 0.5000
Dy2 Dy 0.0000 0.5000 0.2500
Pu1 Pu 0.0000 0.5000 0.7500
Te1 Te 0.0000 0.0000 0.2512
Te2 Te 0.0000 0.5000 0.0022
```

# 8
An optimized crystal structure of CaDyPu2Te4, computed with PBE-GGA.

energy	-7.25	eV/atom
calculated volume	30.80	A^3/atom
formation energy without anion corrections	-1.268	eV per atom

```
data_CaDyPu2Te4
_chemical_formula_sum 'Ca1 Dy1 Pu2 Te4'
_space_group_name_H-M_alt 'P 1 2/m 1'
_space_group_IT_number 10
_space_group_name_Hall '-P 2y'
_cell_length_a 7.6821
_cell_length_b 4.4196
_cell_length_c 7.6886
_cell_angle_alpha 90.00
_cell_angle_beta 109.30
_cell_angle_gamma 90.00
loop_
_atom_site_label
_atom_site_type_symbol
_atom_site_fract_x
_atom_site_fract_y
_atom_site_fract_z
Ca1 Ca 0.0000 0.0000 0.0000
Dy1 Dy 0.5000 0.5000 0.0000
Pu1 Pu 0.0000 0.5000 0.5000
Pu2 Pu 0.5000 0.0000 0.5000
Te1 Te 0.2519 0.5000 0.2471
Te2 Te 0.2540 0.0000 0.7544
```